The following is a PBE-GGA calculation of a geometry-optimized CaEuDy4 structure, from the Alexandria database.

The uncorrected energy is -118.1 eV for the cell shown.

The space group is F-43m (No. 216) and the conventional cell measures 9.555, 9.555 and 9.555 Å, with angles of 90.00, 90.00 and 90.00 degrees. The distinct sites, in fractional coordinates, are Ca at (0.000, 0.000, 0.000), Eu at (0.250, 0.250, 0.250) and Dy at (0.125, 0.125, 0.625).

---

The following is a PBE-GGA calculation of a geometry-optimized CrFeAg structure, from the Alexandria database.

For the relative energy among the computed polymorphs, the calculation gives 0.000 eV/atom. The uncorrected energy is -39.4 eV for the cell shown.

The space group is I4mm (No. 107) and the conventional cell measures 2.826, 2.826 and 10.561 Å, with angles of 90.00, 90.00 and 90.00 degrees. The distinct sites, in fractional coordinates, are Cr at (0.000, 0.000, 0.000), Fe at (0.000, 0.000, 0.381) and Ag at (0.000, 0.000, 0.694).

---

The following is a PBE-GGA calculation of a geometry-optimized LiPmAu structure, from the Alexandria database.

For the relative energy among the computed polymorphs, the calculation gives 0.182 eV/atom. The uncorrected energy is -44.6 eV for the cell shown.

The space group is Immm (No. 71) and the conventional cell measures 3.557, 4.981 and 16.703 Å, with angles of 90.00, 90.00 and 90.00 degrees. The distinct sites, in fractional coordinates, are Li at (0.000, 0.245, 0.000), Pm at (0.000, 0.000, 0.329) and Au at (0.000, 0.000, 0.144).

---

The following is a PBE-GGA calculation of a geometry-optimized BaNd4Tl3O12 structure, from the Alexandria database.

Its formation energy (no corrections) is -2.090 eV/atom. The uncorrected energy is -258.8 eV for the cell shown.

The space group is Im-3 (No. 204) and the conventional cell measures 8.787, 8.787 and 8.787 Å, with angles of 90.00, 90.00 and 90.00 degrees. The distinct sites, in fractional coordinates, are Ba at (0.000, 0.000, 0.000), Nd at (0.250, 0.250, 0.250), Tl at (0.000, 0.000, 0.500) and O at (0.000, 0.165, 0.312).

---

The following is a PBE-GGA calculation of a geometry-optimized Tm6RuPt5 structure, from the Alexandria database.

The uncorrected energy is -160.4 eV for the cell shown.

The space group is C2/m (No. 12) and the conventional cell measures 15.454, 6.762 and 4.882 Å, with angles of 90.00, 108.24 and 90.00 degrees. The distinct sites, in fractional coordinates, are Tm at (0.000, 0.249, 0.000), Tm at (0.165, 0.249, 0.664), Ru at (0.000, 0.000, 0.500), Pt at (0.000, 0.500, 0.500), Pt at (0.162, 0.000, 0.161) and Pt at (0.170, 0.500, 0.169).

---

The following is a PBE-GGA calculation of a geometry-optimized NaCeSbPb structure, from the Alexandria database.

Its formation energy (no corrections) is -0.376 eV/atom. The uncorrected energy is -66.4 eV for the cell shown.

The space group is F-43m (No. 216) and the conventional cell measures 7.693, 7.693 and 7.693 Å, with angles of 90.00, 90.00 and 90.00 degrees. The distinct sites, in fractional coordinates, are Na at (0.000, 0.000, 0.000), Ce at (0.000, 0.000, 0.500), Sb at (0.250, 0.250, 0.750) and Pb at (0.250, 0.250, 0.250).

---

The following is a PBE-GGA calculation of a geometry-optimized CsRe3C structure, from the Alexandria database.

For the relative energy among the computed polymorphs, the calculation gives 3.542 eV/atom. The uncorrected energy is -20.2 eV for the cell shown.

The space group is Pm-3m (No. 221) and the conventional cell measures 4.929, 4.929 and 4.929 Å, with angles of 90.00, 90.00 and 90.00 degrees. The distinct sites, in fractional coordinates, are Cs at (0.000, 0.000, 0.000), Re at (0.000, 0.000, 0.500) and C at (0.500, 0.500, 0.500).

---

The following is a PBE-GGA calculation of a geometry-optimized TbBr4N2 structure, from the Alexandria database.

Its formation energy (no corrections) is 0.512 eV/atom. The uncorrected energy is -48.8 eV for the cell shown.

The space group is C2/m (No. 12) and the conventional cell measures 18.667, 4.163 and 6.960 Å, with angles of 90.00, 97.27 and 90.00 degrees. The distinct sites, in fractional coordinates, are Tb at (0.000, 0.000, 0.000), Br at (0.061, 0.000, 0.647), Br at (0.098, 0.500, 0.131) and N at (0.236, 0.500, 0.741).

---

The following is a PBE-GGA calculation of a geometry-optimized LiTm2Ag6 structure, from the Alexandria database.

For the relative energy among the computed polymorphs, the calculation gives 0.000 eV/atom. The uncorrected energy is -118.5 eV for the cell shown.

The space group is C2/c (No. 15) and the conventional cell measures 13.642, 10.221 and 5.209 Å, with angles of 90.00, 99.35 and 90.00 degrees. The distinct sites, in fractional coordinates, are Li at (0.000, 0.125, 0.250), Tm at (0.165, 0.378, 0.072), Ag at (0.056, 0.356, 0.524), Ag at (0.106, 0.115, 0.823) and Ag at (0.214, 0.126, 0.376).

---

The following is a PBE-GGA calculation of a geometry-optimized SiNi2Hg structure, from the Alexandria database.

Its formation energy (no corrections) is -0.087 eV/atom. For the relative energy among the computed polymorphs, the calculation gives 0.102 eV/atom. The uncorrected energy is -35.3 eV for the cell shown.

The space group is Imm2 (No. 44) and the conventional cell measures 2.777, 3.449 and 12.594 Å, with angles of 90.00, 90.00 and 90.00 degrees. The distinct sites, in fractional coordinates, are Si at (0.000, 0.000, 0.000), Ni at (0.000, 0.000, 0.555), Ni at (0.000, 0.500, 0.882) and Hg at (0.000, 0.500, 0.245).

---

The following is a PBE-GGA calculation of a geometry-optimized Na3ZrRu structure, from the Alexandria database.

For the relative energy among the computed polymorphs, the calculation gives 0.000 eV/atom. The uncorrected energy is -13.9 eV for the cell shown.

The space group is Pm-3m (No. 221) and the conventional cell measures 5.147, 5.147 and 5.147 Å, with angles of 90.00, 90.00 and 90.00 degrees. The distinct sites, in fractional coordinates, are Na at (0.000, 0.000, 0.500), Zr at (0.500, 0.500, 0.500) and Ru at (0.000, 0.000, 0.000).

---

The following is a PBE-GGA calculation of a geometry-optimized YBe4Zn structure, from the Alexandria database.

The uncorrected energy is -87.1 eV for the cell shown.

The space group is F-43m (No. 216) and the conventional cell measures 6.773, 6.773 and 6.773 Å, with angles of 90.00, 90.00 and 90.00 degrees. The distinct sites, in fractional coordinates, are Y at (0.000, 0.000, 0.000), Be at (0.127, 0.127, 0.627) and Zn at (0.250, 0.250, 0.250).

---

The following is a PBE-GGA calculation of a geometry-optimized DyThPb structure, from the Alexandria database.

For the relative energy among the computed polymorphs, the calculation gives 0.041 eV/atom. The uncorrected energy is -33.3 eV for the cell shown.

The space group is P4/nmm (No. 129, origin choice 2) and the conventional cell measures 4.613, 4.613 and 8.814 Å, with angles of 90.00, 90.00 and 90.00 degrees. The distinct sites, in fractional coordinates, are Dy at (0.250, 0.250, 0.149), Th at (0.250, 0.750, 0.500) and Pb at (0.250, 0.250, 0.790).

---

The following is a PBE-GGA calculation of a geometry-optimized ZrSc2In structure, from the Alexandria database.

The uncorrected energy is -25.0 eV for the cell shown.

The space group is P4/mmm (No. 123) and the conventional cell measures 4.504, 4.504 and 4.457 Å, with angles of 90.00, 90.00 and 90.00 degrees. The distinct sites, in fractional coordinates, are Zr at (0.000, 0.000, 0.000), Sc at (0.000, 0.500, 0.500) and In at (0.500, 0.500, 0.000).

---

The following is a PBE-GGA calculation of a geometry-optimized BaRu2Pt structure, from the Alexandria database.

For the relative energy among the computed polymorphs, the calculation gives 0.727 eV/atom. The uncorrected energy is -46.4 eV for the cell shown.

The space group is I-4m2 (No. 119) and the conventional cell measures 4.660, 4.660 and 7.373 Å, with angles of 90.00, 90.00 and 90.00 degrees. The distinct sites, in fractional coordinates, are Ba at (0.000, 0.000, 0.000), Ru at (0.000, 0.000, 0.500), Ru at (0.000, 0.500, 0.250) and Pt at (0.000, 0.500, 0.750).

---

The following is a PBE-GGA calculation of a geometry-optimized PrGe4Os2 structure, from the Alexandria database.

The uncorrected energy is -191.0 eV for the cell shown.

The space group is Pnma (No. 62) and the conventional cell measures 17.287, 4.272 and 6.833 Å, with angles of 90.00, 90.00 and 90.00 degrees. The distinct sites, in fractional coordinates, are Pr at (0.143, 0.250, 0.046), Ge at (0.027, 0.750, 0.137), Ge at (0.061, 0.250, 0.514), Ge at (0.191, 0.750, 0.750), Ge at (0.192, 0.750, 0.323), Os at (0.040, 0.750, 0.756) and Os at (0.206, 0.250, 0.533).

---

The following is a PBE-GGA calculation of a geometry-optimized SmTl4 structure, from the Alexandria database.

For the relative energy among the computed polymorphs, the calculation gives 0.544 eV/atom. The uncorrected energy is -12.2 eV for the cell shown.

The space group is Pm-3m (No. 221) and the conventional cell measures 6.016, 6.016 and 6.016 Å, with angles of 90.00, 90.00 and 90.00 degrees. The distinct sites, in fractional coordinates, are Sm at (0.000, 0.000, 0.000), Tl at (0.000, 0.000, 0.500) and Tl at (0.500, 0.500, 0.500).

---

The following is a PBE-GGA calculation of a geometry-optimized Be2FePd structure, from the Alexandria database.

The uncorrected energy is -22.4 eV for the cell shown.

The space group is P4/mmm (No. 123) and the conventional cell measures 2.723, 2.723 and 5.526 Å, with angles of 90.00, 90.00 and 90.00 degrees. The distinct sites, in fractional coordinates, are Be at (0.000, 0.000, 0.230), Fe at (0.500, 0.500, 0.000) and Pd at (0.500, 0.500, 0.500).

---

The following is a PBE-GGA calculation of a geometry-optimized La9Pr4Er structure, from the Alexandria database.

The uncorrected energy is -132.1 eV for the cell shown.

The space group is P6_3/mmc (No. 194) and the conventional cell measures 10.1179, 10.1179 and 11.6648 Å, with angles of 90.00, 90.00 and 120.00 degrees. The distinct sites, in fractional coordinates, are La at (0.0789, 0.5394, 0.2500), La at (0.2073, 0.4146, 0.5309), Pr at (0.0000, 0.0000, 0.0000), Pr at (0.1147, 0.2294, 0.2500) and Er at (0.3333, 0.6667, 0.7500).

---

The following is a PBE-GGA calculation of a geometry-optimized TbSm3Y6Tm2 structure, from the Alexandria database.

The uncorrected energy is -132.5 eV for the cell shown.

The space group is C2/m (No. 12) and the conventional cell measures 6.189, 10.710 and 11.820 Å, with angles of 90.00, 100.01 and 90.00 degrees. The distinct sites, in fractional coordinates, are Tb at (0.000, 0.000, 0.000), Sm at (0.000, 0.167, 0.500), Sm at (0.000, 0.500, 0.500), Y at (0.249, 0.167, 0.247), Y at (0.249, 0.500, 0.247) and Tm at (0.000, 0.333, 0.000).